Record 1
Entry from the Alexandria database: a relaxed structure of Nd2SbSe5 (GGA-PBE). Values from VASP.

density	4.754	Mg/m³
density of states at the Fermi level	4.52	states/eV/cell
ΔE to the lowest computed polymorph	0.1244	eV per atom
raw total energy	-5.013	eV per atom
energy relative to the elements, uncorrected	-1.13	eV/atom

```
&SYSTEM
  ibrav = 0, nat = 16, ntyp = 3
/
ATOMIC_SPECIES
Nd 144.24 Nd.upf
Sb 121.76 Sb.upf
Se 78.96 Se.upf
CELL_PARAMETERS angstrom
2.835 -7.224 0.000
2.835 7.224 0.000
0.000 0.000 13.729
ATOMIC_POSITIONS crystal
Nd 0.159 0.841 0.570
Nd 0.159 0.841 0.930
Nd 0.841 0.159 0.070
Nd 0.841 0.159 0.430
Sb 0.163 0.837 0.250
Sb 0.837 0.163 0.750
Se 0.041 0.959 0.104
Se 0.041 0.959 0.396
Se 0.283 0.717 0.750
Se 0.296 0.704 0.092
Se 0.296 0.704 0.408
Se 0.704 0.296 0.592
Se 0.704 0.296 0.908
Se 0.717 0.283 0.250
Se 0.959 0.041 0.604
Se 0.959 0.041 0.896
```

---

Record 2
Entry from the Alexandria database: a relaxed structure of Nd3Sb2Se (GGA-PBE). Values from VASP.

density	6.770	Mg/m³
density of states at the Fermi level	1.79	states/eV/cell
raw total energy	-5.757	eV per atom
energy relative to the elements, uncorrected	-1.42	eV/atom

```
&SYSTEM
  ibrav = 0, nat = 6, ntyp = 3
/
ATOMIC_SPECIES
Nd 144.24 Nd.upf
Sb 121.76 Sb.upf
Se 78.96 Se.upf
CELL_PARAMETERS angstrom
-2.219 3.145 6.634
2.219 -3.145 6.634
2.219 3.145 -6.634
ATOMIC_POSITIONS crystal
Nd 0.000 0.000 0.000
Nd 0.339 0.339 0.000
Nd 0.661 0.661 0.000
Sb 0.169 0.669 0.500
Sb 0.831 0.331 0.500
Se 0.500 0.000 0.500
```

---

Record 3
Entry from the Alexandria database: a relaxed structure of Nd3SbSe6 (GGA-PBE). Values from VASP.

density	5.766	Mg/m³
raw total energy	-5.379	eV per atom
energy relative to the elements, uncorrected	-1.45	eV/atom

```
&SYSTEM
  ibrav = 0, nat = 20, ntyp = 3
/
ATOMIC_SPECIES
Nd 144.24 Nd.upf
Sb 121.76 Sb.upf
Se 78.96 Se.upf
CELL_PARAMETERS angstrom
5.710 -7.165 0.000
5.710 7.165 0.000
0.000 0.000 7.238
ATOMIC_POSITIONS crystal
Nd 0.096 0.904 0.500
Nd 0.217 0.416 0.397
Nd 0.416 0.217 0.897
Nd 0.584 0.783 0.397
Nd 0.783 0.584 0.897
Nd 0.904 0.096 0.000
Sb 0.323 0.677 0.880
Sb 0.677 0.323 0.380
Se 0.070 0.596 0.687
Se 0.133 0.196 0.700
Se 0.196 0.133 0.200
Se 0.267 0.733 0.251
Se 0.404 0.930 0.687
Se 0.492 0.508 0.638
Se 0.508 0.492 0.138
Se 0.596 0.070 0.187
Se 0.733 0.267 0.751
Se 0.804 0.867 0.700
Se 0.867 0.804 0.200
Se 0.930 0.404 0.187
```

---

Record 4
Entry from the Alexandria database: a relaxed structure of Nd5SbSe5 (GGA-PBE). Values from VASP.

density	6.163	Mg/m³
density of states at the Fermi level	3.70	states/eV/cell
raw total energy	-5.865	eV per atom
energy relative to the elements, uncorrected	-1.74	eV/atom

```
&SYSTEM
  ibrav = 0, nat = 11, ntyp = 3
/
ATOMIC_SPECIES
Nd 144.24 Nd.upf
Sb 121.76 Sb.upf
Se 78.96 Se.upf
CELL_PARAMETERS angstrom
6.743 -3.035 0.000
6.743 3.035 0.000
-2.703 0.000 8.147
ATOMIC_POSITIONS crystal
Nd 0.000 0.000 0.000
Nd 0.332 0.332 0.657
Nd 0.335 0.335 0.178
Nd 0.665 0.665 0.822
Nd 0.668 0.668 0.343
Sb 0.500 0.500 0.000
Se 0.165 0.165 0.333
Se 0.171 0.171 0.839
Se 0.500 0.500 0.500
Se 0.829 0.829 0.161
Se 0.835 0.835 0.667
```

---

Record 5
Entry from the Alexandria database: a relaxed structure of Nd5Sb4Se (GGA-PBE). Values from VASP.

density	6.751	Mg/m³
density of states at the Fermi level	2.36	states/eV/cell
ΔE to the lowest computed polymorph	0.0140	eV per atom
raw total energy	-5.700	eV per atom
energy relative to the elements, uncorrected	-1.32	eV/atom

```
&SYSTEM
  ibrav = 0, nat = 10, ntyp = 3
/
ATOMIC_SPECIES
Nd 144.24 Nd.upf
Sb 121.76 Sb.upf
Se 78.96 Se.upf
CELL_PARAMETERS angstrom
-2.238 2.238 15.797
2.238 -2.238 15.797
2.238 2.238 -15.797
ATOMIC_POSITIONS crystal
Nd 0.000 0.000 0.000
Nd 0.200 0.200 0.000
Nd 0.402 0.402 0.000
Nd 0.598 0.598 0.000
Nd 0.800 0.800 0.000
Sb 0.099 0.099 0.000
Sb 0.301 0.301 0.000
Sb 0.699 0.699 0.000
Sb 0.901 0.901 0.000
Se 0.500 0.500 0.000
```

---

Record 6
Entry from the Alexandria database: a relaxed structure of Nd5Sb4Se (GGA-PBE). Values from VASP.

density	6.753	Mg/m³
density of states at the Fermi level	2.63	states/eV/cell
ΔE to the lowest computed polymorph	0.0000	eV per atom
raw total energy	-5.714	eV per atom
energy relative to the elements, uncorrected	-1.33	eV/atom

```
&SYSTEM
  ibrav = 0, nat = 10, ntyp = 3
/
ATOMIC_SPECIES
Nd 144.24 Nd.upf
Sb 121.76 Sb.upf
Se 78.96 Se.upf
CELL_PARAMETERS angstrom
-4.998 4.998 3.168
4.998 -4.998 3.168
4.998 4.998 -3.168
ATOMIC_POSITIONS crystal
Nd 0.000 0.000 0.000
Nd 0.205 0.400 0.605
Nd 0.400 0.795 0.195
Nd 0.600 0.205 0.805
Nd 0.795 0.600 0.395
Sb 0.097 0.700 0.797
Sb 0.300 0.097 0.398
Sb 0.700 0.903 0.602
Sb 0.903 0.300 0.203
Se 0.500 0.500 0.000
```

---

Record 7
Entry from the Alexandria database: a relaxed structure of Nd3SbSe2 (GGA-PBE). Values from VASP.

density	6.839	Mg/m³
density of states at the Fermi level	2.35	states/eV/cell
raw total energy	-5.858	eV per atom
energy relative to the elements, uncorrected	-1.63	eV/atom

```
&SYSTEM
  ibrav = 0, nat = 6, ntyp = 3
/
ATOMIC_SPECIES
Nd 144.24 Nd.upf
Sb 121.76 Sb.upf
Se 78.96 Se.upf
CELL_PARAMETERS angstrom
-2.167 3.072 6.496
2.167 -3.072 6.496
2.167 3.072 -6.496
ATOMIC_POSITIONS crystal
Nd 0.000 0.000 0.000
Nd 0.327 0.327 0.000
Nd 0.673 0.673 0.000
Sb 0.500 0.000 0.500
Se 0.164 0.664 0.500
Se 0.836 0.336 0.500
```

---

Record 8
Entry from the Alexandria database: a relaxed structure of NdSbSe4 (GGA-PBE). Values from VASP.

density	5.704	Mg/m³
density of states at the Fermi level	1.26	states/eV/cell
raw total energy	-4.587	eV per atom
energy relative to the elements, uncorrected	-0.78	eV/atom

```
&SYSTEM
  ibrav = 0, nat = 12, ntyp = 3
/
ATOMIC_SPECIES
Nd 144.24 Nd.upf
Sb 121.76 Sb.upf
Se 78.96 Se.upf
CELL_PARAMETERS angstrom
6.707 -3.710 0.000
6.707 3.710 0.000
-3.061 0.000 6.807
ATOMIC_POSITIONS crystal
Nd 0.204 0.796 0.750
Nd 0.796 0.204 0.250
Sb 0.000 0.500 0.000
Sb 0.500 0.000 0.500
Se 0.118 0.180 0.644
Se 0.180 0.118 0.144
Se 0.396 0.403 0.908
Se 0.403 0.396 0.408
Se 0.597 0.604 0.592
Se 0.604 0.597 0.092
Se 0.820 0.882 0.856
Se 0.882 0.820 0.356
```

---

> Look up the energy relative to the elements, uncorrected of the first one.

-1.13 eV/atom

---

> density of number 7 (Nd3SbSe2)?

6.839 Mg/m³

---

> What is the raw total energy in the sixth record?

-5.714 eV per atom

---

Repeat the seventh record exactly.
Entry from the Alexandria database: a relaxed structure of Nd3SbSe2 (GGA-PBE). Values from VASP.

density	6.839	Mg/m³
density of states at the Fermi level	2.35	states/eV/cell
raw total energy	-5.858	eV per atom
energy relative to the elements, uncorrected	-1.63	eV/atom

```
&SYSTEM
  ibrav = 0, nat = 6, ntyp = 3
/
ATOMIC_SPECIES
Nd 144.24 Nd.upf
Sb 121.76 Sb.upf
Se 78.96 Se.upf
CELL_PARAMETERS angstrom
-2.167 3.072 6.496
2.167 -3.072 6.496
2.167 3.072 -6.496
ATOMIC_POSITIONS crystal
Nd 0.000 0.000 0.000
Nd 0.327 0.327 0.000
Nd 0.673 0.673 0.000
Sb 0.500 0.000 0.500
Se 0.164 0.664 0.500
Se 0.836 0.336 0.500
```